Model one:
La3MgO: optimized geometry, PBE-GGA.

Structure (POSCAR):
```
La3MgO
1.0
5.727 0.000 3.574
-2.864 4.960 3.574
-2.864 -4.960 3.574
Mg O La
2 2 6
Direct
0.000 0.000 0.000
0.500 0.500 0.500
0.250 0.250 0.250
0.750 0.750 0.750
0.020 0.480 0.250
0.480 0.250 0.020
0.250 0.020 0.480
0.750 0.980 0.520
0.520 0.750 0.980
0.980 0.520 0.750
```

Computed properties:
The calculation puts the density at 4.983 g cm⁻³.

Model two:
La3MgO: optimized geometry, PBE-GGA.

Structure (POSCAR):
```
La3MgO
1.0
6.864 0.000 -0.170
0.000 6.913 0.000
-3.276 0.000 6.279
Mg O La
2 2 6
Direct
0.780 0.250 0.801
0.220 0.750 0.199
0.064 0.250 0.440
0.936 0.750 0.560
0.784 0.993 0.247
0.216 0.007 0.753
0.784 0.507 0.247
0.216 0.493 0.753
0.314 0.250 0.309
0.686 0.750 0.691
```

Computed properties:
The calculation puts the density at 5.161 g cm⁻³.

Short version: model one is the least stable of them.